(1)
DyZnNi after structural relaxation. Source: the Alexandria database, functional PBE.

a b c (Å): 6.7918 3.9565 7.9709
angles (deg): 90.00 90.00 90.00
Positions (direct):
Dy 0.0406 0.2500 0.1858
Dy 0.4594 0.7500 0.6858
Dy 0.5406 0.2500 0.3142
Dy 0.9594 0.7500 0.8142
Zn 0.1395 0.2500 0.5610
Zn 0.3605 0.7500 0.0610
Zn 0.6395 0.2500 0.9390
Zn 0.8605 0.7500 0.4390
Ni 0.2426 0.7500 0.3766
Ni 0.2574 0.2500 0.8766
Ni 0.7426 0.7500 0.1234
Ni 0.7574 0.2500 0.6234

Formation enthalpy at 0 K (eV per atom): -0.462
Space group: Pnma (62)
Fermi-level density of states (states/eV/f.u.): 2.1


(2)
ReWCl2 after structural relaxation. Source: the Alexandria database, functional PBE.

a b c (Å): 4.9561 4.9561 2.7942
angles (deg): 90.00 90.00 111.12
Positions (direct):
Re 0.0000 0.0000 0.0000
W 0.5000 0.5000 0.0000
Cl 0.0000 0.5000 0.5000
Cl 0.5000 0.0000 0.5000

Space group: Cmmm (65)
E_form (uncorrected) (eV per atom): 1.62
ΔE to the lowest computed polymorph (kJ per mole of atoms): 173.7
Fermi-level density of states (states/eV/f.u.): 4.7


(3)
Sc2AgBI after structural relaxation. Source: the Alexandria database, functional PBE.

a b c (Å): 5.2661 5.2661 5.1167
angles (deg): 90.00 90.00 90.00
Positions (direct):
Sc 0.0000 0.5000 0.0000
Sc 0.5000 0.0000 0.0000
Ag 0.0000 0.0000 0.5000
B 0.5000 0.5000 0.5000
I 0.0000 0.0000 0.0000

Space group: P4/mmm (123)
E_form (uncorrected) (eV per atom): 1.40
Fermi-level density of states (states/eV/f.u.): 4.7


(4)
Sc2TiAl after structural relaxation. Source: the Alexandria database, functional PBE.

a b c (Å): 3.1743 3.1743 7.9628
angles (deg): 90.00 90.00 90.00
Positions (direct):
Sc 0.0000 0.0000 0.2429
Sc 0.0000 0.0000 0.7571
Ti 0.5000 0.5000 0.5000
Al 0.5000 0.5000 0.0000

Formation enthalpy at 0 K (eV per atom): -0.180
Space group: P4/mmm (123)
Fermi-level density of states (states/eV/f.u.): 3.5


(5)
Pm2AsP3Pd4 after structural relaxation. Source: the Alexandria database, functional PBE.

a b c (Å): 4.3227 4.3227 9.6675
angles (deg): 90.00 90.00 90.00
Positions (direct):
Pm 0.0000 0.5000 0.2505
Pm 0.5000 0.0000 0.7495
As 0.0000 0.0000 0.5000
P 0.0000 0.5000 0.8704
P 0.5000 0.0000 0.1296
P 0.5000 0.5000 0.5000
Pd 0.0000 0.0000 0.0000
Pd 0.0000 0.5000 0.6256
Pd 0.5000 0.0000 0.3744
Pd 0.5000 0.5000 0.0000

Formation enthalpy at 0 K (eV per atom): -0.900
Space group: P-4m2 (115)
Fermi-level density of states (states/eV/f.u.): 3.5


(6)
Ag3BrO after structural relaxation. Source: the Alexandria database, functional PBE.

a b c (Å): 5.1190 5.1190 5.1190
angles (deg): 90.00 90.00 90.00
Positions (direct):
Ag 0.0000 0.0000 0.5000
Ag 0.0000 0.5000 0.0000
Ag 0.5000 0.0000 0.0000
Br 0.0000 0.0000 0.0000
O 0.5000 0.5000 0.5000

Space group: Pm-3m (221)
E_form (uncorrected) (eV per atom): 0.87
ΔE to the lowest computed polymorph (kJ per mole of atoms): 95.1
Fermi-level density of states (states/eV/f.u.): 3.1


(7)
GaPtPb3 after structural relaxation. Source: the Alexandria database, functional PBE.

a b c (Å): 5.3506 5.3506 5.3506
angles (deg): 90.00 90.00 90.00
Positions (direct):
Ga 0.0000 0.0000 0.0000
Pt 0.5000 0.5000 0.5000
Pb 0.0000 0.0000 0.5000
Pb 0.0000 0.5000 0.0000
Pb 0.5000 0.0000 0.0000

Formation enthalpy at 0 K (eV per atom): 0.690
Space group: Pm-3m (221)
ΔE to the lowest computed polymorph (kJ per mole of atoms): 43.8
Fermi-level density of states (states/eV/f.u.): 3.8